# LiCoPO4 (PBE with a Hubbard U, relaxed)
# Total DFT energy (no corrections)   -6.588 eV per atom
# Spin magnetization   0.4298 μB per atom
# ρ   3.192 g/cm3
data_LiCoPO4
_chemical_formula_sum 'Li8 Co8 P8 O32'
_cell_length_a 7.758
_cell_length_b 4.924
_cell_length_c 17.529
_cell_angle_alpha 90.00
_cell_angle_beta 91.14
_cell_angle_gamma 90.00
_symmetry_space_group_name_H-M 'P 1 21/c 1'
_symmetry_Int_Tables_number 14
_symmetry_space_group_name_Hall '-P 2ybc'
loop_
_atom_site_label
_atom_site_fract_x
_atom_site_fract_y
_atom_site_fract_z
Li1 0.000 0.197 0.090
Li2 0.485 0.532 0.315
Co1 0.144 0.622 0.223
Co2 0.349 0.226 0.980
P1 0.247 0.718 0.563
P2 0.255 0.037 0.316
O1 0.068 0.597 0.806
O2 0.136 0.627 0.631
O3 0.174 0.582 0.489
O4 0.247 0.033 0.561
O5 0.256 0.163 0.790
O6 0.310 0.006 0.399
O7 0.370 0.641 0.763
O8 0.433 0.590 0.573